Model A:
! PBE-GGA TcAg2Rh, relaxed; values from VASP
&SYSTEM
  ibrav = 0, nat = 4, ntyp = 3
/
ATOMIC_SPECIES
Tc 98.00 Tc.upf
Ag 107.87 Ag.upf
Rh 102.91 Rh.upf
CELL_PARAMETERS angstrom
2.788 0.000 0.000
0.000 2.788 0.000
0.000 0.000 8.262
ATOMIC_POSITIONS angstrom
Tc 0.000 0.000 0.000
Ag 0.000 0.000 4.393
Ag 1.394 1.394 2.181
Rh 1.394 1.394 6.558
! - magnetic moment (μB per formula unit) = 0.00

***

Model B:
! PBE-GGA TcAg2Rh, relaxed; values from VASP
&SYSTEM
  ibrav = 0, nat = 8, ntyp = 3
/
ATOMIC_SPECIES
Tc 98.00 Tc.upf
Ag 107.87 Ag.upf
Rh 102.91 Rh.upf
CELL_PARAMETERS angstrom
-3.733 3.733 2.581
3.733 -3.733 2.581
3.733 3.733 -2.581
ATOMIC_POSITIONS angstrom
Tc 0.000 0.000 0.000
Tc 0.000 3.733 1.291
Ag 1.867 -1.840 1.936
Ag 1.893 1.867 0.645
Ag 1.867 5.573 -0.645
Ag 1.840 1.867 3.227
Rh 3.733 0.000 1.291
Rh 0.000 0.000 2.581
! - magnetic moment (μB per formula unit) = 2.53

***

Model C:
! PBE-GGA TcAg2Rh, relaxed; values from VASP
&SYSTEM
  ibrav = 0, nat = 4, ntyp = 3
/
ATOMIC_SPECIES
Tc 98.00 Tc.upf
Ag 107.87 Ag.upf
Rh 102.91 Rh.upf
CELL_PARAMETERS angstrom
1.388 0.801 9.536
-1.388 0.801 9.536
0.000 -1.602 9.536
ATOMIC_POSITIONS angstrom
Tc 0.000 0.000 0.000
Ag 0.000 0.000 7.141
Ag 0.000 0.000 21.466
Rh 0.000 0.000 14.304
! - magnetic moment (μB per formula unit) = 1.04

***

Model D:
! PBE-GGA TcAg2Rh, relaxed; values from VASP
&SYSTEM
  ibrav = 0, nat = 4, ntyp = 3
/
ATOMIC_SPECIES
Tc 98.00 Tc.upf
Ag 107.87 Ag.upf
Rh 102.91 Rh.upf
CELL_PARAMETERS angstrom
-1.918 1.918 4.408
1.918 -1.918 4.408
1.918 1.918 -4.408
ATOMIC_POSITIONS angstrom
Tc 0.000 0.000 0.000
Ag 1.918 0.000 2.204
Ag 0.000 1.918 2.204
Rh 0.000 0.000 4.408
! - magnetic moment (μB per formula unit) = 2.53

***

Least stable = model B